No. 1
First-principles (GGA-PBE) data for a relaxed Sc2SO crystal, as listed in Alexandria via LeMat-Bulk.

The space group is Pmn2_1 (No. 31) and the conventional cell measures 3.506, 7.029 and 5.581 Å, with angles of 90.00, 90.00 and 90.00 degrees. The asymmetric unit holds Sc at (0.000, 0.043, 0.000), Sc at (0.000, 0.602, 0.817), S at (0.000, 0.273, 0.633) and O at (0.000, 0.869, 0.674).

The formation energy (no corrections) comes out at -2.17 eV per atom. The energy is -60.8 eV per cell. The crystal system is orthorhombic. The value obtained for the energy relative to the lowest polymorph listed for this composition is 0.0 meV/atom.

No. 2
First-principles (GGA-PBE) data for a relaxed CsNa2Ga2 crystal, as listed in Alexandria via LeMat-Bulk.

The space group is P4/mbm (No. 127) and the conventional cell measures 9.210, 9.210 and 3.770 Å, with angles of 90.00, 90.00 and 90.00 degrees. The asymmetric unit holds Cs at (0.000, 0.000, 0.000), Na at (0.179, 0.321, 0.500) and Ga at (0.099, 0.599, 0.000).

As for the formation energy: 0.07 eV/atom. The energy is -18.4 eV per cell. The crystal system is tetragonal. The value obtained for the energy relative to the lowest polymorph listed for this composition is 4.1 meV/atom.

No. 3
First-principles (GGA-PBE) data for a relaxed BaBe2Sb crystal, as listed in Alexandria via LeMat-Bulk.

The space group is Imm2 (No. 44) and the conventional cell measures 4.011, 6.837 and 7.931 Å, with angles of 90.00, 90.00 and 90.00 degrees. The asymmetric unit holds Ba at (0.000, 0.000, 0.000), Be at (0.000, 0.000, 0.444), Be at (0.000, 0.500, 0.838) and Sb at (0.000, 0.500, 0.137).

The formation energy (no corrections) comes out at 0.17 eV per atom. The energy is -25.6 eV per cell. The crystal system is orthorhombic.

No. 4
First-principles (GGA-PBE) data for a relaxed SrZr2Zn2 crystal, as listed in Alexandria via LeMat-Bulk.

The space group is I4/mmm (No. 139) and the conventional cell measures 4.974, 4.974 and 10.680 Å, with angles of 90.00, 90.00 and 90.00 degrees. The asymmetric unit holds Sr at (0.000, 0.000, 0.000), Zr at (0.000, 0.000, 0.348) and Zn at (0.000, 0.500, 0.250).

As for the formation energy: 0.26 eV/atom. The energy is -40.0 eV per cell. The crystal system is tetragonal. The value obtained for the energy relative to the lowest polymorph listed for this composition is 231.4 meV/atom.

No. 5
First-principles (GGA-PBE) data for a relaxed Pm8Sm4Sc crystal, as listed in Alexandria via LeMat-Bulk.

The space group is C2/m (No. 12) and the conventional cell measures 7.514, 10.819 and 11.581 Å, with angles of 90.00, 108.59 and 90.00 degrees. The asymmetric unit holds Pm at (0.124, 0.000, 0.301), Pm at (0.157, 0.264, 0.821), Pm at (0.182, 0.500, 0.301), Sm at (0.000, 0.000, 0.000), Sm at (0.000, 0.500, 0.000), Sm at (0.250, 0.250, 0.500) and Sc at (0.000, 0.500, 0.500).

As for the formation energy: 0.16 eV/atom. The energy is -122.2 eV per cell. The crystal system is monoclinic.

No. 6
First-principles (GGA-PBE) data for a relaxed Ac2TbS3 crystal, as listed in Alexandria via LeMat-Bulk.

The space group is I4/mmm (No. 139) and the conventional cell measures 4.208, 4.208 and 17.703 Å, with angles of 90.00, 90.00 and 90.00 degrees. The asymmetric unit holds Ac at (0.000, 0.000, 0.168), Tb at (0.000, 0.000, 0.500), S at (0.000, 0.000, 0.000) and S at (0.000, 0.000, 0.342).

The formation energy (no corrections) comes out at -1.94 eV per atom. The energy is -73.8 eV per cell. The crystal system is tetragonal.

No. 7
First-principles (GGA-PBE) data for a relaxed K2GaRu crystal, as listed in Alexandria via LeMat-Bulk.

The space group is I-42d (No. 122) and the conventional cell measures 3.856, 3.856 and 22.218 Å, with angles of 90.00, 90.00 and 90.00 degrees. The asymmetric unit holds K at (0.247, 0.250, 0.125), Ga at (0.000, 0.000, 0.500) and Ru at (0.000, 0.000, 0.000).

As for the formation energy: 0.92 eV/atom. The energy is -43.3 eV per cell. The crystal system is tetragonal.

No. 8
First-principles (GGA-PBE) data for a relaxed MnSi2Tc crystal, as listed in Alexandria via LeMat-Bulk.

The space group is I-42d (No. 122) and the conventional cell measures 6.466, 6.466 and 5.526 Å, with angles of 90.00, 90.00 and 90.00 degrees. The asymmetric unit holds Mn at (0.000, 0.000, 0.000), Si at (0.243, 0.250, 0.125) and Tc at (0.000, 0.000, 0.500).

The formation energy (no corrections) comes out at 0.24 eV per atom. The energy is -117.7 eV per cell. The crystal system is tetragonal. The value obtained for the energy relative to the lowest polymorph listed for this composition is 606.3 meV/atom.

No. 9
First-principles (GGA-PBE) data for a relaxed Tb4YHo crystal, as listed in Alexandria via LeMat-Bulk.

The space group is F-43m (No. 216) and the conventional cell measures 9.287, 9.287 and 9.287 Å, with angles of 90.00, 90.00 and 90.00 degrees. The asymmetric unit holds Tb at (0.125, 0.125, 0.125), Y at (0.250, 0.250, 0.750) and Ho at (0.000, 0.000, 0.500).

As for the formation energy: 0.25 eV/atom. The energy is -112.3 eV per cell. The crystal system is cubic. The value obtained for the energy relative to the lowest polymorph listed for this composition is 229.0 meV/atom.

No. 10
First-principles (GGA-PBE) data for a relaxed PdPtBr6 crystal, as listed in Alexandria via LeMat-Bulk.

The space group is C2/m (No. 12) and the conventional cell measures 8.249, 11.292 and 6.581 Å, with angles of 90.00, 108.57 and 90.00 degrees. The asymmetric unit holds Pd at (0.000, 0.000, 0.000), Pt at (0.000, 0.000, 0.500), Br at (0.126, 0.154, 0.782) and Br at (0.244, 0.500, 0.627).

The formation energy (no corrections) comes out at -0.21 eV per atom. The energy is -46.0 eV per cell. The crystal system is monoclinic.

No. 11
First-principles (GGA-PBE) data for a relaxed Ni2OsRh crystal, as listed in Alexandria via LeMat-Bulk.

The space group is Cmmm (No. 65) and the conventional cell measures 2.703, 4.455 and 8.684 Å, with angles of 90.00, 90.00 and 90.00 degrees. The asymmetric unit holds Ni at (0.000, 0.000, 0.248), Os at (0.000, 0.500, 0.000) and Rh at (0.000, 0.500, 0.500).

As for the formation energy: 0.29 eV/atom. The energy is -57.9 eV per cell. The crystal system is orthorhombic.

No. 12
First-principles (GGA-PBE) data for a relaxed Cu2WSe crystal, as listed in Alexandria via LeMat-Bulk.

The space group is Imm2 (No. 44) and the conventional cell measures 3.769, 3.786 and 7.996 Å, with angles of 90.00, 90.00 and 90.00 degrees. The asymmetric unit holds Cu at (0.000, 0.000, 0.000), Cu at (0.000, 0.500, 0.251), W at (0.000, 0.000, 0.500) and Se at (0.000, 0.500, 0.750).

The formation energy (no corrections) comes out at 0.45 eV per atom. The energy is -45.7 eV per cell. The crystal system is orthorhombic.

Short version: theoretical density = 3.33; 3.31; 4.23; 5.04; 6.72; 7.51; 5.01; 6.01; 7.38; 4.46; 13.04; 11.35 g/cm3, in the order given.